# Mg2TaCu | the Alexandria database | PBE | relaxed
# calculated total energy	-18.1	eV per formula unit
data_Mg2TaCu
_chemical_formula_sum 'Mg4 Ta2 Cu2'
_symmetry_space_group_name_H-M 'I m m m'
_symmetry_Int_Tables_number 71
_symmetry_space_group_name_Hall '-I 2 2'
_cell_length_a 2.840
_cell_length_b 4.888
_cell_length_c 9.966
_cell_angle_alpha 90.00
_cell_angle_beta 90.00
_cell_angle_gamma 90.00
loop_
_atom_site_label
_atom_site_fract_x
_atom_site_fract_y
_atom_site_fract_z
_atom_site_occupancy
Mg1 0.000 0.000 0.222 1
Ta1 0.000 0.500 0.000 1
Cu1 0.000 0.500 0.500 1

# Ge2BiCl6 | the Alexandria database | PBE | relaxed
# formation energy (no corrections)	-0.684	eV per atom
data_Ge2BiCl6
_chemical_formula_sum 'Ge6 Bi3 Cl18'
_symmetry_space_group_name_H-M 'R 3'
_symmetry_Int_Tables_number 146
_symmetry_space_group_name_Hall 'R 3'
_cell_length_a 7.4387
_cell_length_b 7.4387
_cell_length_c 19.6561
_cell_angle_alpha 90.00
_cell_angle_beta 90.00
_cell_angle_gamma 120.00
loop_
_atom_site_label
_atom_site_fract_x
_atom_site_fract_y
_atom_site_fract_z
_atom_site_occupancy
Ge1 0.0000 0.0000 0.0000 1
Ge2 0.0000 0.0000 0.1400 1
Bi1 0.0000 0.0000 0.3877 1
Cl1 0.0286 0.6694 0.1313 1
Cl2 0.0507 0.3532 0.9713 1

# CdTeN2 | the Alexandria database | PBE | relaxed
# formation energy (no corrections)	1.521	eV per atom
data_CdTeN2
_chemical_formula_sum 'Cd4 Te4 N8'
_symmetry_space_group_name_H-M 'F m -3 m'
_symmetry_Int_Tables_number 225
_symmetry_space_group_name_Hall '-F 4 2 3'
_cell_length_a 6.047
_cell_length_b 6.047
_cell_length_c 6.047
_cell_angle_alpha 90.00
_cell_angle_beta 90.00
_cell_angle_gamma 90.00
loop_
_atom_site_label
_atom_site_fract_x
_atom_site_fract_y
_atom_site_fract_z
_atom_site_occupancy
Cd1 0.000 0.000 0.000 1
Te1 0.000 0.000 0.500 1
N1 0.250 0.250 0.250 1

# Tc2OsCl | the Alexandria database | PBE | relaxed
# formation energy (no corrections)	0.803	eV per atom
data_Tc2OsCl
_chemical_formula_sum 'Tc2 Os1 Cl1'
_symmetry_space_group_name_H-M 'P 4/m m m'
_symmetry_Int_Tables_number 123
_symmetry_space_group_name_Hall '-P 4 2'
_cell_length_a 4.575
_cell_length_b 4.575
_cell_length_c 2.819
_cell_angle_alpha 90.00
_cell_angle_beta 90.00
_cell_angle_gamma 90.00
loop_
_atom_site_label
_atom_site_fract_x
_atom_site_fract_y
_atom_site_fract_z
_atom_site_occupancy
Tc1 0.000 0.500 0.000 1
Os1 0.000 0.000 0.500 1
Cl1 0.500 0.500 0.500 1

# RbSr3 | the Alexandria database | PBE | relaxed
# calculated total energy	-5.7	eV per formula unit
data_RbSr3
_chemical_formula_sum 'Rb1 Sr3'
_symmetry_space_group_name_H-M 'P -6 m 2'
_symmetry_Int_Tables_number 187
_symmetry_space_group_name_Hall 'P -6 2'
_cell_length_a 4.3472
_cell_length_b 4.3472
_cell_length_c 14.7685
_cell_angle_alpha 90.00
_cell_angle_beta 90.00
_cell_angle_gamma 120.00
loop_
_atom_site_label
_atom_site_fract_x
_atom_site_fract_y
_atom_site_fract_z
_atom_site_occupancy
Rb1 0.0000 0.0000 0.0000 1
Sr1 0.0000 0.0000 0.5000 1
Sr2 0.3333 0.6667 0.2669 1

# In2Se | the Alexandria database | PBE | relaxed
# formation energy (no corrections)	-0.261	eV per atom
data_In2Se
_chemical_formula_sum 'In8 Se4'
_symmetry_space_group_name_H-M 'P n m a'
_symmetry_Int_Tables_number 62
_cell_length_a 6.533
_cell_length_b 6.062
_cell_length_c 8.661
_cell_angle_alpha 90.00
_cell_angle_beta 90.00
_cell_angle_gamma 90.00
loop_
_symmetry_equiv_pos_as_xyz
'x,y,z'
'-x,-y,-z'
'-x+1/2,-y,z+1/2'
'x+1/2,y,-z+1/2'
'x+1/2,-y+1/2,-z+1/2'
'-x+1/2,y+1/2,z+1/2'
'-x,y+1/2,-z'
'x,-y+1/2,z'
loop_
_atom_site_label
_atom_site_fract_x
_atom_site_fract_y
_atom_site_fract_z
_atom_site_occupancy
In1 0.040 0.250 0.048 1
In2 0.130 0.250 0.669 1
Se1 0.054 0.750 0.635 1

# Ca4TlW | the Alexandria database | PBE | relaxed
# calculated total energy	-17.4	eV per formula unit
data_Ca4TlW
_chemical_formula_sum 'Ca16 Tl4 W4'
_symmetry_space_group_name_H-M 'F -4 3 m'
_symmetry_Int_Tables_number 216
_symmetry_space_group_name_Hall 'F -4 2 3'
_cell_length_a 9.000
_cell_length_b 9.000
_cell_length_c 9.000
_cell_angle_alpha 90.00
_cell_angle_beta 90.00
_cell_angle_gamma 90.00
loop_
_atom_site_label
_atom_site_fract_x
_atom_site_fract_y
_atom_site_fract_z
_atom_site_occupancy
Ca1 0.124 0.124 0.376 1
Tl1 0.000 0.000 0.000 1
W1 0.250 0.250 0.750 1

# TiRu3 | the Alexandria database | PBE | relaxed
# calculated total energy	-36.5	eV per formula unit
data_TiRu3
_chemical_formula_sum 'Ti1 Ru3'
_symmetry_space_group_name_H-M 'P m m 2'
_symmetry_Int_Tables_number 25
_cell_length_a 2.825
_cell_length_b 4.351
_cell_length_c 4.662
_cell_angle_alpha 90.00
_cell_angle_beta 90.00
_cell_angle_gamma 90.00
loop_
_symmetry_equiv_pos_as_xyz
'x,y,z'
'-x,-y,z'
'-x,y,z'
'x,-y,z'
loop_
_atom_site_label
_atom_site_fract_x
_atom_site_fract_y
_atom_site_fract_z
_atom_site_occupancy
Ti1 0.000 0.000 0.000 1
Ru1 0.000 0.500 0.374 1
Ru2 0.500 0.000 0.512 1
Ru3 0.500 0.500 0.888 1

# Al2TcO4 | the Alexandria database | PBE | relaxed
# formation energy (no corrections)	-1.193	eV per atom
data_Al2TcO4
_chemical_formula_sum 'Al4 Tc2 O8'
_symmetry_space_group_name_H-M 'I 4/m m m'
_symmetry_Int_Tables_number 139
_symmetry_space_group_name_Hall '-I 4 2'
_cell_length_a 4.184
_cell_length_b 4.184
_cell_length_c 9.746
_cell_angle_alpha 90.00
_cell_angle_beta 90.00
_cell_angle_gamma 90.00
loop_
_atom_site_label
_atom_site_fract_x
_atom_site_fract_y
_atom_site_fract_z
_atom_site_occupancy
Al1 0.000 0.000 0.124 1
Tc1 0.000 0.000 0.500 1
O1 0.000 0.000 0.297 1
O2 0.000 0.500 0.000 1

# SrTcP2Ru | the Alexandria database | PBE | relaxed
# calculated total energy	-36.4	eV per formula unit
data_SrTcP2Ru
_chemical_formula_sum 'Sr2 Tc2 P4 Ru2'
_symmetry_space_group_name_H-M 'I -4 m 2'
_symmetry_Int_Tables_number 119
_symmetry_space_group_name_Hall 'I -4 -2'
_cell_length_a 4.128
_cell_length_b 4.128
_cell_length_c 10.920
_cell_angle_alpha 90.00
_cell_angle_beta 90.00
_cell_angle_gamma 90.00
loop_
_atom_site_label
_atom_site_fract_x
_atom_site_fract_y
_atom_site_fract_z
_atom_site_occupancy
Sr1 0.000 0.000 0.000 1
Tc1 0.000 0.500 0.250 1
P1 0.000 0.000 0.351 1
Ru1 0.000 0.500 0.750 1

# AcPm6SmDy2 | the Alexandria database | PBE | relaxed
# calculated total energy	-45.3	eV per formula unit
data_AcPm6SmDy2
_chemical_formula_sum 'Ac4 Pm24 Sm4 Dy8'
_symmetry_space_group_name_H-M 'C 1 2/c 1'
_symmetry_Int_Tables_number 15
_cell_length_a 9.375
_cell_length_b 15.458
_cell_length_c 9.780
_cell_angle_alpha 90.00
_cell_angle_beta 96.07
_cell_angle_gamma 90.00
loop_
_symmetry_equiv_pos_as_xyz
'x,y,z'
'-x,-y,-z'
'-x,y,-z+1/2'
'x,-y,z+1/2'
'x+1/2,y+1/2,z'
'-x+1/2,-y+1/2,-z'
'-x+1/2,y+1/2,-z+1/2'
'x+1/2,-y+1/2,z+1/2'
loop_
_atom_site_label
_atom_site_fract_x
_atom_site_fract_y
_atom_site_fract_z
_atom_site_occupancy
Ac1 0.000 0.029 0.250 1
Pm1 0.065 0.184 0.945 1
Pm2 0.099 0.391 0.119 1
Pm3 0.215 0.229 0.319 1
Sm1 0.000 0.410 0.750 1
Dy1 0.245 0.446 0.453 1

# CaPdRh2 | the Alexandria database | PBE | relaxed
# calculated total energy	-21.5	eV per formula unit
data_CaPdRh2
_chemical_formula_sum 'Ca4 Pd4 Rh8'
_symmetry_space_group_name_H-M 'I -4 2 d'
_symmetry_Int_Tables_number 122
_symmetry_space_group_name_Hall 'I -4 2bw'
_cell_length_a 3.997
_cell_length_b 3.997
_cell_length_c 19.142
_cell_angle_alpha 90.00
_cell_angle_beta 90.00
_cell_angle_gamma 90.00
loop_
_atom_site_label
_atom_site_fract_x
_atom_site_fract_y
_atom_site_fract_z
_atom_site_occupancy
Ca1 0.000 0.000 0.000 1
Pd1 0.000 0.000 0.500 1
Rh1 0.186 0.250 0.625 1

# Sm12Y5Ho | the Alexandria database | PBE | relaxed
# calculated total energy	-93.2	eV per formula unit
data_Sm12Y5Ho
_chemical_formula_sum 'Sm12 Y5 Ho1'
_symmetry_space_group_name_H-M 'P 1 2/m 1'
_symmetry_Int_Tables_number 10
_cell_length_a 10.809
_cell_length_b 5.104
_cell_length_c 10.823
_cell_angle_alpha 90.00
_cell_angle_beta 90.12
_cell_angle_gamma 90.00
loop_
_symmetry_equiv_pos_as_xyz
'x,y,z'
'-x,-y,-z'
'-x,y,-z'
'x,-y,z'
loop_
_atom_site_label
_atom_site_fract_x
_atom_site_fract_y
_atom_site_fract_z
_atom_site_occupancy
Sm1 0.000 0.000 0.167 1
Sm2 0.166 0.500 0.666 1
Sm3 0.167 0.500 0.000 1
Sm4 0.333 0.000 0.500 1
Sm5 0.333 0.000 0.833 1
Sm6 0.500 0.500 0.333 1
Y1 0.166 0.500 0.334 1
Y2 0.333 0.000 0.167 1
Y3 0.500 0.500 0.000 1
Ho1 0.000 0.000 0.500 1

# BaNpOs2O8 | the Alexandria database | PBE | relaxed
# formation energy (no corrections)	-1.581	eV per atom
data_BaNpOs2O8
_chemical_formula_sum 'Ba1 Np1 Os2 O8'
_symmetry_space_group_name_H-M 'P -3'
_symmetry_Int_Tables_number 147
_cell_length_a 5.8733
_cell_length_b 5.8733
_cell_length_c 7.5506
_cell_angle_alpha 90.00
_cell_angle_beta 90.00
_cell_angle_gamma 120.00
loop_
_symmetry_equiv_pos_as_xyz
'x,y,z'
'-x,-y,-z'
'-y,x-y,z'
'y,-x+y,-z'
'-x+y,-x,z'
'x-y,x,-z'
loop_
_atom_site_label
_atom_site_fract_x
_atom_site_fract_y
_atom_site_fract_z
_atom_site_occupancy
Ba1 0.0000 0.0000 0.0000 1
Np1 0.0000 0.0000 0.5000 1
Os1 0.3333 0.6667 0.7838 1
O1 0.1617 0.3275 0.6858 1
O2 0.3333 0.6667 0.0213 1

# InSn2S2 | the Alexandria database | PBE | relaxed
# formation energy (no corrections)	-0.107	eV per atom
data_InSn2S2
_chemical_formula_sum 'In2 Sn4 S4'
_symmetry_space_group_name_H-M 'P 4/m b m'
_symmetry_Int_Tables_number 127
_symmetry_space_group_name_Hall '-P 4 2ab'
_cell_length_a 8.257
_cell_length_b 8.257
_cell_length_c 3.860
_cell_angle_alpha 90.00
_cell_angle_beta 90.00
_cell_angle_gamma 90.00
loop_
_atom_site_label
_atom_site_fract_x
_atom_site_fract_y
_atom_site_fract_z
_atom_site_occupancy
In1 0.000 0.000 0.000 1
Sn1 0.152 0.348 0.000 1
S1 0.193 0.693 0.500 1

# Pm7Er2Th2 | the Alexandria database | PBE | relaxed
# calculated total energy	-55.3	eV per formula unit
data_Pm7Er2Th2
_chemical_formula_sum 'Pm14 Er4 Th4'
_symmetry_space_group_name_H-M 'C 1 2/m 1'
_symmetry_Int_Tables_number 12
_cell_length_a 11.402
_cell_length_b 11.463
_cell_length_c 6.128
_cell_angle_alpha 90.00
_cell_angle_beta 112.18
_cell_angle_gamma 90.00
loop_
_symmetry_equiv_pos_as_xyz
'x,y,z'
'-x,-y,-z'
'-x,y,-z'
'x,-y,z'
'x+1/2,y+1/2,z'
'-x+1/2,-y+1/2,-z'
'-x+1/2,y+1/2,-z'
'x+1/2,-y+1/2,z'
loop_
_atom_site_label
_atom_site_fract_x
_atom_site_fract_y
_atom_site_fract_z
_atom_site_occupancy
Pm1 0.000 0.000 0.000 1
Pm2 0.180 0.233 0.173 1
Pm3 0.231 0.000 0.593 1
Er1 0.000 0.223 0.500 1
Th1 0.073 0.500 0.803 1

# CsGa2Pb2 | the Alexandria database | PBE | relaxed
# calculated total energy	-14.8	eV per formula unit
data_CsGa2Pb2
_chemical_formula_sum 'Cs2 Ga4 Pb4'
_symmetry_space_group_name_H-M 'I 4/m m m'
_symmetry_Int_Tables_number 139
_symmetry_space_group_name_Hall '-I 4 2'
_cell_length_a 5.182
_cell_length_b 5.182
_cell_length_c 11.741
_cell_angle_alpha 90.00
_cell_angle_beta 90.00
_cell_angle_gamma 90.00
loop_
_atom_site_label
_atom_site_fract_x
_atom_site_fract_y
_atom_site_fract_z
_atom_site_occupancy
Cs1 0.000 0.000 0.000 1
Ga1 0.000 0.000 0.386 1
Pb1 0.000 0.500 0.250 1

# Tm2Al3Ag | the Alexandria database | PBE | relaxed
# calculated total energy	-25.7	eV per formula unit
data_Tm2Al3Ag
_chemical_formula_sum 'Tm4 Al6 Ag2'
_symmetry_space_group_name_H-M 'P 63/m m c'
_symmetry_Int_Tables_number 194
_symmetry_space_group_name_Hall '-P 6c 2c'
_cell_length_a 5.5791
_cell_length_b 5.5791
_cell_length_c 8.8451
_cell_angle_alpha 90.00
_cell_angle_beta 90.00
_cell_angle_gamma 120.00
loop_
_atom_site_label
_atom_site_fract_x
_atom_site_fract_y
_atom_site_fract_z
_atom_site_occupancy
Tm1 0.3333 0.6667 0.0701 1
Al1 0.1711 0.3422 0.7500 1
Ag1 0.0000 0.0000 0.0000 1

# Pm5PbAu4 | the Alexandria database | PBE | relaxed
# calculated total energy	-47.8	eV per formula unit
data_Pm5PbAu4
_chemical_formula_sum 'Pm5 Pb1 Au4'
_symmetry_space_group_name_H-M 'P 4/m m m'
_symmetry_Int_Tables_number 123
_symmetry_space_group_name_Hall '-P 4 2'
_cell_length_a 3.645
_cell_length_b 3.645
_cell_length_c 19.655
_cell_angle_alpha 90.00
_cell_angle_beta 90.00
_cell_angle_gamma 90.00
loop_
_atom_site_label
_atom_site_fract_x
_atom_site_fract_y
_atom_site_fract_z
_atom_site_occupancy
Pm1 0.000 0.000 0.000 1
Pm2 0.000 0.000 0.191 1
Pm3 0.000 0.000 0.383 1
Pb1 0.500 0.500 0.500 1
Au1 0.500 0.500 0.097 1
Au2 0.500 0.500 0.286 1

# ScTiW4 | the Alexandria database | PBE | relaxed
# calculated total energy	-65.8	eV per formula unit
data_ScTiW4
_chemical_formula_sum 'Sc4 Ti4 W16'
_symmetry_space_group_name_H-M 'F -4 3 m'
_symmetry_Int_Tables_number 216
_symmetry_space_group_name_Hall 'F -4 2 3'
_cell_length_a 7.560
_cell_length_b 7.560
_cell_length_c 7.560
_cell_angle_alpha 90.00
_cell_angle_beta 90.00
_cell_angle_gamma 90.00
loop_
_atom_site_label
_atom_site_fract_x
_atom_site_fract_y
_atom_site_fract_z
_atom_site_occupancy
Sc1 0.000 0.000 0.000 1
Ti1 0.250 0.250 0.750 1
W1 0.125 0.125 0.375 1

Size of the total moment
In order: 0.000; 3.043; 0.000; 0.000; 0.000; 0.000; 12.476; 0.000; 4.497; 0.000; 0.000; 0.000; 0.000; 1.070; 0.000; 0.000; 0.000; 0.000; 0.000; 0.000
Unit: μB per cell